Model a:
The following is a DFT calculation (PBE-GGA) of crystalline Ca3MnCu at its relaxed geometry.

## Properties
As for the space-group type: Pm-3m.

Lattice parameters (Å, degrees): 5.4929 5.4929 5.4929 90.00 90.00 90.00
Each line ends with the local moment (μB).
Fractional coordinates of all 5 atoms:
1 Ca 0.5000 0.0000 0.0000  -0.02
2 Ca 0.0000 0.5000 0.0000  -0.01
3 Ca 0.0000 0.0000 0.5000  -0.01
4 Cu 0.0000 0.0000 0.0000  0.01
5 Mn 0.5000 0.5000 0.5000  4.26

---

Model b:
The following is a DFT calculation (PBE-GGA) of crystalline Ca3MnCu at its relaxed geometry.

## Properties
As for the space-group type: Pm-3m.

Lattice parameters (Å, degrees): 5.4056 5.4056 5.4056 90.00 90.00 90.00
Each line ends with the local moment (μB).
Fractional coordinates of all 5 atoms:
1 Mn 0.0000 0.0000 0.0000  2.72
2 Ca 0.5000 0.0000 0.0000  -0.03
3 Ca 0.0000 0.0000 0.5000  -0.09
4 Ca 0.0000 0.5000 0.0000  -0.04
5 Cu 0.5000 0.5000 0.5000  0.00

---

Stability summary - winner: model a; margin: 0.276 eV/atom.